A plane-wave DFT calculation with PBE was carried out for crystalline ZrSi2Mo at its relaxed geometry.

```
ZrSi2Mo
1.0
-1.736 2.188 1.403
-1.522 0.511 -2.681
-4.424 -4.562 1.642
Si Mo Zr
2 1 1
Direct
0.000 0.000 0.543
0.000 0.000 0.957
0.500 0.500 0.750
0.500 0.500 0.250
```

Calculated values
- VASP energy (eV/atom) = -7.92
- uncorrected formation energy (eV per atom) = -0.364


A plane-wave DFT calculation with PBE was carried out for crystalline ZrSi2Mo at its relaxed geometry.

```
ZrSi2Mo
1.0
-2.842 -0.703 -1.703
-1.386 -1.247 2.828
-2.019 5.107 1.262
Si Mo Zr
2 1 1
Direct
0.000 0.000 0.990
0.500 0.500 0.233
0.500 0.500 0.780
0.000 0.000 0.497
```

Calculated values
- VASP energy (eV/atom) = -7.90
- uncorrected formation energy (eV per atom) = -0.339


A plane-wave DFT calculation with PBE was carried out for crystalline ZrSiMo at its relaxed geometry.

```
ZrSiMo
1.0
-2.823 -0.116 2.289
0.803 -10.261 0.468
3.466 0.467 4.297
Si Zr Mo
4 4 4
Direct
0.500 0.388 0.250
0.500 0.612 0.750
0.000 0.888 0.250
0.000 0.112 0.750
0.000 0.190 0.250
0.000 0.810 0.750
0.500 0.690 0.250
0.500 0.310 0.750
0.500 0.000 0.000
0.500 0.000 0.500
0.000 0.500 0.500
0.000 0.500 0.000
```

Calculated values
- VASP energy (eV/atom) = -8.88
- uncorrected formation energy (eV per atom) = -0.609


A plane-wave DFT calculation with PBE was carried out for crystalline Zr3SiMo at its relaxed geometry.

```
Zr3SiMo
1.0
-2.853 -2.047 3.390
3.572 -3.134 1.114
1.710 3.132 3.330
Si Zr Mo
1 3 1
Direct
0.000 0.000 0.000
0.000 0.000 0.500
0.500 0.000 0.000
0.000 0.500 0.000
0.500 0.500 0.500
```

Calculated values
- VASP energy (eV/atom) = -7.78
- uncorrected formation energy (eV per atom) = 0.604


A plane-wave DFT calculation with PBE was carried out for crystalline ZrSi2Mo at its relaxed geometry.

```
ZrSi2Mo
1.0
-2.311 -3.377 -3.089
0.512 -3.448 -3.759
0.412 -4.087 2.173
Zr Si Mo
1 2 1
Direct
0.518 0.518 0.435
0.273 0.273 0.286
0.981 0.981 0.958
0.728 0.728 0.821
```

Calculated values
- VASP energy (eV/atom) = -7.81
- uncorrected formation energy (eV per atom) = -0.251


A plane-wave DFT calculation with PBE was carried out for crystalline ZrSi2Mo at its relaxed geometry.

```
ZrSi2Mo
1.0
2.763 0.000 0.000
0.000 2.763 0.000
0.000 0.000 8.651
Zr Si Mo
1 2 1
Direct
0.000 0.000 0.488
0.500 0.500 0.243
0.000 0.000 0.995
0.500 0.500 0.775
```

Calculated values
- VASP energy (eV/atom) = -7.38
- uncorrected formation energy (eV per atom) = 0.181